First-principles (PBE) data for Tl2InIr after structural relaxation, as listed in Alexandria.

## Properties
relative energy among the computed polymorphs	150.5	kJ/mol of formula units
energy of formation from the pure elements	46	kJ per mole of atoms
crystal system	tetragonal
calculated density	13.260	Mg/m³

a = 4.510 Å, b = 4.510 Å, c = 8.813 Å
α = 90.00°, β = 90.00°, γ = 90.00°
Space group I4/mmm (No. 139)
Unique sites:
1 Tl 0.000 0.500 0.250 x4
2 In 0.000 0.000 0.000 x2
3 Ir 0.000 0.000 0.500 x2